Material: BaYTe4
Method: DFT, SCAN
State: PBEsol geometry

Calculated values
raw formation energy = -278 meV per atom

a b c (Å): 6.4391 6.4391 6.4391
angles (deg): 60.00 60.00 60.00
Last column: nearest neighbours and their distance in Å.
Fractional coordinates of all 6 atoms:
Ba (0.0000, 0.0000, 0.0000)  12 Te 3.78, 4 Y 3.94
Y (0.7500, 0.7500, 0.7500)  12 Te 3.77, 4 Ba 3.94
Te (0.3756, 0.3756, 0.3756)  6 Te 3.20-3.23
Te (0.3756, 0.3756, 0.8733)  6 Te 3.20-3.23
Te (0.3756, 0.8733, 0.3756)  6 Te 3.20-3.23
Te (0.8733, 0.3756, 0.3756)  6 Te 3.20-3.23